Entry 1:
DFT (PBE) results for a geometry-optimized Pr3ErZn2 structure.

Unit cell a=5.4332 b=16.5536 c=3.7350 alpha=90.00 beta=90.00 gamma=90.00
Space group Cmmm (No. 65)
Symmetry-distinct sites (fractional):
1 Pr 0.0000 0.0000 0.0000
2 Pr 0.0000 0.3209 0.0000
3 Er 0.0000 0.5000 0.5000
4 Zn 0.0000 0.1563 0.5000

energy above the most stable polymorph in this dataset	62	meV per atom
E_form	-125	meV per atom



Entry 2:
DFT (PBE) results for a geometry-optimized TbCe3Dy2P6 structure.

Unit cell a=7.0184 b=12.1581 c=7.0046 alpha=90.00 beta=109.52 gamma=90.00
Space group C2/m (No. 12)
Symmetry-distinct sites (fractional):
1 Tb 0.0000 0.0000 0.0000
2 Ce 0.0000 0.1665 0.5000
3 Ce 0.0000 0.5000 0.5000
4 Dy 0.0000 0.3333 0.0000
5 P 0.2484 0.5000 0.2474
6 P 0.2495 0.1670 0.2475

E_form	-1560	meV per atom



Entry 3:
DFT (PBE) results for a geometry-optimized CeHg2Pt6 structure.

Unit cell a=9.0676 b=9.0676 c=9.0676 alpha=90.00 beta=90.00 gamma=90.00
Space group Fm-3m (No. 225)
Symmetry-distinct sites (fractional):
1 Ce 0.0000 0.0000 0.0000
2 Hg 0.2500 0.2500 0.2500
3 Pt 0.0000 0.0000 0.2872

E_form	146	meV per atom



Entry 4:
DFT (PBE) results for a geometry-optimized Hf3MgH structure.

Unit cell a=4.4488 b=4.4488 c=4.4488 alpha=90.00 beta=90.00 gamma=90.00
Space group Pm-3m (No. 221)
Symmetry-distinct sites (fractional):
1 Hf 0.0000 0.0000 0.5000
2 Mg 0.5000 0.5000 0.5000
3 H 0.0000 0.0000 0.0000

energy above the most stable polymorph in this dataset	0	meV per atom



Entry 5:
DFT (PBE) results for a geometry-optimized RbErAgTe3 structure.

Unit cell a=4.3018 b=17.2449 c=11.3047 alpha=90.00 beta=90.00 gamma=90.00
Space group Cmcm (No. 63)
Symmetry-distinct sites (fractional):
1 Rb 0.0000 0.2444 0.2500
2 Er 0.0000 0.0000 0.0000
3 Ag 0.0000 0.4685 0.7500
4 Te 0.0000 0.0748 0.7500
5 Te 0.0000 0.3768 0.5478

formation energy (no corrections)	-87	kJ/mol of atoms



Entry 6:
DFT (PBE) results for a geometry-optimized BaHf2GeRu structure.

Unit cell a=5.2835 b=5.2835 c=5.2513 alpha=90.00 beta=90.00 gamma=90.00
Space group P4/mmm (No. 123)
Symmetry-distinct sites (fractional):
1 Ba 0.0000 0.0000 0.0000
2 Hf 0.0000 0.5000 0.0000
3 Ge 0.0000 0.0000 0.5000
4 Ru 0.5000 0.5000 0.5000

E_form	2521	meV per atom



Entry 7:
DFT (PBE) results for a geometry-optimized Y2ThHg6 structure.

Unit cell a=8.6701 b=8.6701 c=3.4258 alpha=90.00 beta=90.00 gamma=120.00
Space group P6/mmm (No. 191)
Symmetry-distinct sites (fractional):
1 Y 0.3333 0.6667 0.0000
2 Th 0.0000 0.0000 0.0000
3 Hg 0.0000 0.3364 0.5000

E_form	-354	meV per atom



Entry 8:
DFT (PBE) results for a geometry-optimized ScCuBr2 structure.

Unit cell a=6.3103 b=6.3103 c=10.8325 alpha=90.00 beta=90.00 gamma=90.00
Space group I-42d (No. 122)
Symmetry-distinct sites (fractional):
1 Sc 0.0000 0.0000 0.0000
2 Cu 0.0000 0.0000 0.5000
3 Br 0.2124 0.2500 0.6250

energy above the most stable polymorph in this dataset	461	meV per atom
formation energy (no corrections)	-27	kJ/mol of atoms



Entry 9:
DFT (PBE) results for a geometry-optimized SrCaS structure.

Unit cell a=4.1160 b=4.1160 c=40.9521 alpha=90.00 beta=90.00 gamma=120.00
Space group R-3m (No. 166, hexagonal axes)
Symmetry-distinct sites (fractional):
1 Sr 0.0000 0.0000 0.1234
2 Ca 0.0000 0.0000 0.3726
3 S 0.0000 0.0000 0.2547

energy above the most stable polymorph in this dataset	0	meV per atom
formation energy (no corrections)	-128	kJ/mol of atoms



Entry 10:
DFT (PBE) results for a geometry-optimized LaIrI2N structure.

Unit cell a=6.3703 b=6.3703 c=4.0757 alpha=90.00 beta=90.00 gamma=90.00
Space group P4/mmm (No. 123)
Symmetry-distinct sites (fractional):
1 La 0.0000 0.0000 0.0000
2 Ir 0.5000 0.5000 0.5000
3 I 0.0000 0.5000 0.0000
4 N 0.0000 0.0000 0.5000

energy above the most stable polymorph in this dataset	965	meV per atom
formation energy (no corrections)	79	kJ/mol of atoms



Entry 11:
DFT (PBE) results for a geometry-optimized BaTcRh structure.

Unit cell a=11.8672 b=4.4962 c=5.2970 alpha=90.00 beta=90.09 gamma=90.00
Space group Cm (No. 8)
Symmetry-distinct sites (fractional):
1 Ba 0.0000 0.0000 0.0000
2 Ba 0.0541 0.5000 0.5007
3 Tc 0.2451 0.5000 0.0128
4 Tc 0.3089 0.5000 0.5120
5 Rh 0.2650 0.0000 0.7335
6 Rh 0.2893 0.0000 0.2336

energy above the most stable polymorph in this dataset	241	meV per atom
E_form	299	meV per atom



Entry 12:
DFT (PBE) results for a geometry-optimized ZrF structure.

Unit cell a=3.2420 b=3.2420 c=23.5113 alpha=90.00 beta=90.00 gamma=120.00
Space group R3m (No. 160, hexagonal axes)
Symmetry-distinct sites (fractional):
1 Zr 0.0000 0.0000 0.0000
2 Zr 0.0000 0.0000 0.4373
3 F 0.0000 0.0000 0.1626
4 F 0.0000 0.0000 0.6105

energy above the most stable polymorph in this dataset	54	meV per atom
formation energy (no corrections)	-213	kJ/mol of atoms



| no. | density of states at the Fermi level (states/eV/cell) |
| --- | --- |
| 1 | 14.8 |
| 2 | 28.1 |
| 3 | 44.4 |
| 4 | 2.1 |
| 5 | 15.3 |
| 6 | 6.6 |
| 7 | 5.2 |
| 8 | 7.7 |
| 9 | 10.5 |
| 10 | 6.6 |
| 11 | 13.8 |
| 12 | 5.4 |